First-principles (PBE) data for a relaxed structure of Ca2TeN, as listed in Alexandria via LeMat-Bulk.

Cell: 5.0564 5.0564 5.0564 Å, 60.00 60.00 60.00°
Last column: nearest neighbours and their distance in Å.
Fractional positions:
Ca (0.2500, 0.2500, 0.2500)  4 Te 3.10, 4 N 3.10
Ca (0.7500, 0.7500, 0.7500)  4 Te 3.10, 4 N 3.10
Te (0.0000, 0.0000, 0.0000)  8 Ca 3.10
N (0.5000, 0.5000, 0.5000)  8 Ca 3.10

Results
Polymorph energy (0 for the lowest one) (eV/atom): 0.525
Space-group type: Fm-3m, No. 225